A geometry-optimized Pm6As2IrSe3 structure. Source: Alexandria via LeMat-Bulk, functional GGA-PBE.

Cell lengths 4.184, 8.526, 9.453 Å; angles 103.33, 102.79, 90.00 degrees
Element x y z (fractional)
Pm 0.340 0.914 0.681
Pm 0.669 0.578 0.338
Pm 0.660 0.086 0.319
Pm 0.001 0.234 0.002
Pm 0.999 0.766 0.998
Pm 0.331 0.422 0.662
As 0.833 0.665 0.667
As 0.167 0.335 0.333
Ir 0.500 0.000 0.000
Se 0.500 0.500 0.000
Se 0.830 0.167 0.660
Se 0.170 0.833 0.340

## Properties
- electronic total energy (eV per formula unit) = -75.754
- ΔE_f (raw) (eV per atom) = -1.5531